[1]
Computed, not measured: crystalline BeBS at its relaxed geometry at the GGA-PBE level of DFT.

The formation energy from raw total energies is -255 meV/atom. The energy above the most stable polymorph in this dataset comes out at 56 meV/atom. The calculation puts the calculated density at 1.93 Mg/m³. The crystal system is triclinic.

The structure belongs to space group P-1 (No. 2); the cell edges are 3.198, 3.695 and 7.774 Å and the angles 89.05°, 87.70° and 76.52°. The distinct sites, in fractional coordinates, are Be at (0.114, 0.117, 0.335), B at (0.253, 0.445, 0.535) and S at (0.302, 0.165, 0.754).

---

[2]
Computed, not measured: crystalline BeB2S at its relaxed geometry at the GGA-PBE level of DFT.

The formation energy from raw total energies is -74 meV/atom. The energy above the most stable polymorph in this dataset comes out at 43 meV/atom. The calculation puts the calculated density at 2.43 Mg/m³. The crystal system is monoclinic.

The structure belongs to space group Cm (No. 8); the cell edges are 16.340, 3.086 and 3.426 Å and the angles 90.00°, 96.44° and 90.00°. The distinct sites, in fractional coordinates, are Be at (0.000, 0.000, 0.000), Be at (0.222, 0.500, 0.083), B at (0.070, 0.000, 0.512), B at (0.412, 0.000, 0.214), B at (0.445, 0.000, 0.732), B at (0.462, 0.500, 0.487), S at (0.139, 0.500, 0.541) and S at (0.293, 0.000, 0.195).

---

[3]
Computed, not measured: crystalline BeBS at its relaxed geometry at the GGA-PBE level of DFT.

The formation energy from raw total energies is -268 meV/atom. The energy above the most stable polymorph in this dataset comes out at 43 meV/atom. The calculation puts the calculated density at 2.21 Mg/m³. The crystal system is monoclinic.

The structure belongs to space group Pm (No. 6); the cell edges are 4.993, 3.195 and 5.124 Å and the angles 90.00°, 107.51° and 90.00°. The distinct sites, in fractional coordinates, are Be at (0.000, 0.000, 0.000), Be at (0.449, 0.500, 0.465), B at (0.038, 0.500, 0.301), B at (0.961, 0.000, 0.375), S at (0.275, 0.500, 0.039) and S at (0.712, 0.000, 0.600).

---

[4]
Computed, not measured: crystalline BeBS at its relaxed geometry at the GGA-PBE level of DFT.

The formation energy from raw total energies is -230 meV/atom. The energy above the most stable polymorph in this dataset comes out at 80 meV/atom. The calculation puts the calculated density at 2.49 Mg/m³. The crystal system is monoclinic.

The structure belongs to space group Cm (No. 8); the cell edges are 6.386, 3.150 and 7.096 Å and the angles 90.00°, 104.54° and 90.00°. The distinct sites, in fractional coordinates, are Be at (0.000, 0.000, 0.000), Be at (0.129, 0.000, 0.537), B at (0.213, 0.500, 0.016), B at (0.309, 0.000, 0.118), S at (0.247, 0.500, 0.750) and S at (0.396, 0.000, 0.394).

---

Q: Number 3 is which compound?
A: BeBS